Material: GaCu2S
Method: DFT, PBE
State: relaxed

## Properties
**Total DFT energy (no corrections)**: -3.6334 eV/atom

Unit cell a=6.2195 b=6.2195 c=6.2195 alpha=90.00 beta=90.00 gamma=90.00
Space group Fm-3m (No. 225)
Symmetry-distinct sites (fractional):
1 Ga 0.0000 0.0000 0.0000 (multiplicity 4)
2 Cu 0.2500 0.2500 0.2500 (multiplicity 8)
3 S 0.0000 0.0000 0.5000 (multiplicity 4)